MoAuO2F, optimized geometry, DFT PBE with a Hubbard U; M_tot = 0.7652 μB/atom; DFT total energy = -4.325 eV/atom; ρ = 7.7 Mg/m³
1.0
4.171 0.000 0.000
0.000 4.171 0.000
0.000 0.000 4.267
Mo Au O F
1 1 2 1
Direct
0.500 0.500 0.500 Mo
0.000 0.000 0.000 Au
0.000 0.500 0.000 O
0.500 0.000 0.000 O
0.000 0.000 0.500 F